The following is a DFT calculation (meta-GGA SCAN) of a crystal of Ce4SnO10 relaxed with PBEsol.

Raw formation energy, meV per atom: -3276
Energy above the most stable polymorph in this dataset, meV per atom: 19

Cell: 3.775 5.346 10.017 Å, 105.48 100.86 90.00°
Atoms (fractional coordinates):
Ce 0.598 0.598 0.196
Ce 0.199 0.199 0.397
Ce 0.801 0.801 0.603
Ce 0.402 0.402 0.804
Sn 0.000 0.000 0.000
O 0.301 0.550 0.602
O 0.905 0.148 0.810
O 0.500 0.766 0.000
O 0.095 0.338 0.190
O 0.699 0.948 0.398
O 0.301 0.052 0.602
O 0.905 0.662 0.810
O 0.500 0.234 0.000
O 0.095 0.852 0.190
O 0.699 0.450 0.398



The following is a DFT calculation (meta-GGA SCAN) of a crystal of KIr2Cl relaxed with PBEsol.

Raw formation energy, meV per atom: 375
Energy above the most stable polymorph in this dataset, meV per atom: 408

Cell: 2.656 4.600 6.740 Å, 90.00 90.00 90.00°
Atoms (fractional coordinates):
K 0.500 0.000 0.500
Ir 0.000 0.000 0.000
Ir 0.500 0.500 0.000
Cl 0.000 0.500 0.500



The following is a DFT calculation (meta-GGA SCAN) of a crystal of PHSe3 relaxed with PBEsol.

Total DFT energy (no corrections), eV per atom: -13.820

Cell: 4.773 4.773 4.773 Å, 90.00 90.00 90.00°
Atoms (fractional coordinates):
P 0.000 0.000 0.000
Se 0.000 0.500 0.000
Se 0.000 0.000 0.500
Se 0.500 0.000 0.000
H 0.500 0.500 0.500



The following is a DFT calculation (meta-GGA SCAN) of a crystal of Mg2TlGa2 relaxed with PBEsol.

Energy above the most stable polymorph in this dataset, meV per atom: 114

Cell: 4.326 4.326 6.696 Å, 108.84 108.84 90.00°
Atoms (fractional coordinates):
Tl 0.000 0.000 0.000
Mg 0.250 0.750 0.500
Mg 0.750 0.250 0.500
Ga 0.398 0.398 0.796
Ga 0.602 0.602 0.204



The following is a DFT calculation (meta-GGA SCAN) of a crystal of GaP2RhO relaxed with PBEsol.

Raw formation energy, meV per atom: 268

Cell: 3.622 4.753 4.753 Å, 90.00 90.00 90.00°
Atoms (fractional coordinates):
P 0.000 0.000 0.500
P 0.000 0.500 0.000
Rh 0.000 0.000 0.000
O 0.500 0.000 0.000
Ga 0.500 0.500 0.500



The following is a DFT calculation (meta-GGA SCAN) of a crystal of MgGa3B relaxed with PBEsol.

Total DFT energy (no corrections), eV per atom: -10.813

Cell: 4.944 4.944 4.944 Å, 90.00 90.00 90.00°
Atoms (fractional coordinates):
Mg 0.000 0.000 0.000
B 0.500 0.500 0.500
Ga 0.000 0.500 0.000
Ga 0.000 0.000 0.500
Ga 0.500 0.000 0.000



The following is a DFT calculation (meta-GGA SCAN) of a crystal of CaHfSCl2 relaxed with PBEsol.

Raw formation energy, meV per atom: -687

Cell: 4.904 4.904 5.391 Å, 90.00 90.00 90.00°
Atoms (fractional coordinates):
Ca 0.000 0.000 0.000
Hf 0.500 0.500 0.500
S 0.000 0.000 0.500
Cl 0.000 0.500 0.000
Cl 0.500 0.000 0.000



The following is a DFT calculation (meta-GGA SCAN) of a crystal of AlMo2As relaxed with PBEsol.

Energy above the most stable polymorph in this dataset, meV per atom: 251

Cell: 3.839 3.839 4.906 Å, 113.03 113.03 90.00°
Atoms (fractional coordinates):
Mo 0.750 0.250 0.500
Mo 0.250 0.750 0.500
As 0.000 0.000 0.000
Al 0.500 0.500 0.000



Please write out number 8 again, unchanged.
The following is a DFT calculation (meta-GGA SCAN) of a crystal of AlMo2As relaxed with PBEsol.

Energy above the most stable polymorph in this dataset, meV per atom: 251

Cell: 3.839 3.839 4.906 Å, 113.03 113.03 90.00°
Atoms (fractional coordinates):
Mo 0.750 0.250 0.500
Mo 0.250 0.750 0.500
As 0.000 0.000 0.000
Al 0.500 0.500 0.000



Number 2 is which compound?
KIr2Cl